First-principles (GGA-PBE) data for ZrSb2Rh after structural relaxation, as listed in Alexandria via LeMat-Bulk.

Cell lengths 4.848, 4.848, 3.441 Å; angles 90.00, 90.00, 90.00 degrees
Atoms (fractional coordinates):
Zr1 0.000 0.000 0.000
Sb1 0.000 0.500 0.500
Sb2 0.500 0.000 0.500
Rh1 0.500 0.500 0.000

Values from the calculation:
* space-group type: P4/mmm (123)
* total magnetic moment: 0.000 μB/cell
* ΔE_f (raw): -0.4343 eV per atom